VASP calculation (GGA-PBE) on a relaxed TmIn2Pd7 crystal.

POSCAR file:
```
TmIn2Pd7
1.0
3.678 -6.915 0.000
3.678 6.915 0.000
0.000 0.000 4.325
Tm In Pd
1 2 7
direct
0.000 0.000 0.000
0.303 0.697 0.500
0.697 0.303 0.500
0.080 0.286 0.500
0.194 0.806 0.000
0.286 0.080 0.500
0.500 0.500 0.500
0.714 0.920 0.500
0.806 0.194 0.000
0.920 0.714 0.500
```

Calculated values
SG = Cmmm, No. 65
crystal system = orthorhombic
calculated volume = 21.998 Å³ per atom
DOS(E_F) = 0.602 states/eV per atom



VASP calculation (GGA-PBE) on a relaxed Tm5InPd4 crystal.

POSCAR file:
```
Tm5InPd4
1.0
3.510 0.000 0.000
0.000 3.510 0.000
0.000 0.000 17.692
Tm In Pd
5 1 4
direct
0.000 0.000 0.000
0.000 0.000 0.192
0.000 0.000 0.382
0.000 0.000 0.618
0.000 0.000 0.808
0.500 0.500 0.500
0.500 0.500 0.096
0.500 0.500 0.291
0.500 0.500 0.709
0.500 0.500 0.904
```

Calculated values
SG = P4/mmm, No. 123
crystal system = tetragonal
calculated volume = 21.792 Å³ per atom
DOS(E_F) = 0.614 states/eV per atom



VASP calculation (GGA-PBE) on a relaxed Tm2InPd3 crystal.

POSCAR file:
```
Tm2InPd3
1.0
6.034 -3.853 0.000
6.034 3.853 0.000
0.000 0.000 5.691
Tm In Pd
4 2 6
direct
0.011 0.654 0.750
0.346 0.989 0.750
0.654 0.011 0.250
0.989 0.346 0.250
0.306 0.694 0.250
0.694 0.306 0.750
0.000 0.000 0.000
0.000 0.000 0.500
0.342 0.342 0.000
0.342 0.342 0.500
0.658 0.658 0.000
0.658 0.658 0.500
```

Calculated values
SG = Cmcm, No. 63
crystal system = orthorhombic
calculated volume = 22.055 Å³ per atom
DOS(E_F) = 0.400 states/eV per atom



no.,formation energy (eV per atom)
1,-0.18
2,-0.84
3,-0.74